No. 1
LiLa2Lu after structural relaxation, computed with GGA-PBE.

The structure in POSCAR format:
```
LiLa2Lu
1.0
5.822 0.000 0.000
0.000 5.822 0.000
0.000 0.000 3.769
Li La Lu
1 2 1
Direct
0.000 0.000 0.000
0.000 0.500 0.500
0.500 0.000 0.500
0.500 0.500 0.000
```

Calculated values
- Crystal system: tetragonal
- Energy of formation from the pure elements: 0.09 eV per atom
- E: -3.9805 eV/atom
- Theoretical density: 5.98 Mg/m³
- Calculated volume: 127.74 Å³/f.u.



No. 2
Ba2BP after structural relaxation, computed with GGA-PBE.

The structure in POSCAR format:
```
Ba2BP
1.0
-4.124 4.124 4.046
4.124 -4.124 4.046
4.124 4.124 -4.046
Ba B P
4 2 2
Direct
0.119 0.625 0.994
0.375 0.369 0.494
0.631 0.125 0.006
0.875 0.881 0.506
0.000 0.000 0.000
0.750 0.250 0.500
0.250 0.750 0.500
0.500 0.500 0.000
```

Calculated values
- Crystal system: tetragonal
- Energy of formation from the pure elements: 0.39 eV per atom
- E: -3.5916 eV/atom
- Theoretical density: 3.82 Mg/m³
- Calculated volume: 137.60 Å³/f.u.



No. 3
TlSbBr6 after structural relaxation, computed with GGA-PBE.

The structure in POSCAR format:
```
TlSbBr6
1.0
3.467 -6.500 0.000
3.467 6.500 0.000
-2.162 0.000 6.589
Tl Sb Br
1 1 6
Direct
0.000 0.000 0.000
0.500 0.500 0.500
0.096 0.399 0.248
0.255 0.255 0.745
0.399 0.096 0.248
0.601 0.904 0.752
0.745 0.745 0.255
0.904 0.601 0.752
```

Calculated values
- Crystal system: monoclinic
- E: -2.5406 eV/atom
- Theoretical density: 4.50 Mg/m³
- Calculated volume: 297.01 Å³/f.u.